# 1
An optimized crystal structure of La2MnRh. Source: the Alexandria database, functional PBE-GGA.

Cell and atoms, written as POSCAR:
```
La2MnRh
1.0
-2.061 -4.555 -1.110
4.671 -1.894 -0.903
0.280 -0.981 3.507
Rh Mn La
1 1 2
direct
0.000 0.500 0.500
0.500 0.000 0.500
0.500 0.500 0.000
0.000 0.000 0.000
```

- space group = P4/mmm, No. 123
- calculated total energy (eV per atom) = -6.749
- volume (Å³ per cell) = 95.8
- polymorph energy (0 for the lowest one) (eV/atom) = 0.097
- energy of formation (kJ/mol of formula units) = -60


# 2
An optimized crystal structure of HfZr2BiN. Source: the Alexandria database, functional PBE-GGA.

Cell and atoms, written as POSCAR:
```
HfZr2BiN
1.0
4.743 0.000 0.000
0.000 4.743 0.000
0.000 0.000 4.244
N Zr Bi Hf
1 2 1 1
direct
0.000 0.000 0.000
0.500 0.000 0.000
0.000 0.500 0.000
0.500 0.500 0.500
0.000 0.000 0.500
```

- space group = P4/mmm, No. 123
- formation energy without anion corrections (eV per atom) = -0.65
- calculated total energy (eV per atom) = -8.502
- volume (Å³ per cell) = 95.5


# 3
An optimized crystal structure of CdReTeCl2. Source: the Alexandria database, functional PBE-GGA.

Cell and atoms, written as POSCAR:
```
CdReTeCl2
1.0
-1.441 0.997 5.079
-3.865 -4.402 -0.233
3.774 -3.406 1.739
Cl Re Cd Te
2 1 1 1
direct
0.500 0.000 0.000
0.000 0.000 0.500
0.500 0.500 0.500
0.000 0.500 0.000
0.000 0.000 0.000
```

- space group = P4/mmm, No. 123
- formation energy without anion corrections (eV per atom) = 1.18
- calculated total energy (eV per atom) = -2.862
- volume (Å³ per cell) = 169.2


# 4
An optimized crystal structure of BiTe2Se. Source: the Alexandria database, functional PBE-GGA.

Cell and atoms, written as POSCAR:
```
BiTe2Se
1.0
-7.685 0.145 5.544
-6.357 -4.043 5.749
-4.459 -1.006 8.302
Te Se Bi
2 1 1
direct
0.903 0.903 0.903
0.097 0.097 0.097
0.000 0.000 0.000
0.500 0.500 0.500
```

- space group = R-3m, No. 166
- formation energy without anion corrections (eV per atom) = 0.10
- calculated total energy (eV per atom) = -3.312
- volume (Å³ per cell) = 152.9
- polymorph energy (0 for the lowest one) (eV/atom) = 0.000


# 5
An optimized crystal structure of PrNd12Tm3. Source: the Alexandria database, functional PBE-GGA.

Cell and atoms, written as POSCAR:
```
PrNd12Tm3
1.0
5.157 0.000 0.000
0.000 5.157 0.000
0.000 0.000 20.591
Nd Pr Tm
12 1 3
direct
0.000 0.500 0.872
0.500 0.500 0.253
0.000 0.500 0.128
0.000 0.500 0.376
0.500 0.000 0.376
0.500 0.000 0.624
0.500 0.500 0.000
0.500 0.000 0.872
0.500 0.000 0.128
0.500 0.500 0.500
0.000 0.500 0.624
0.500 0.500 0.747
0.000 0.000 0.000
0.000 0.000 0.252
0.000 0.000 0.500
0.000 0.000 0.748
```

- space group = P4/mmm, No. 123
- calculated total energy (eV per atom) = -4.698
- volume (Å³ per cell) = 547.7
- energy of formation (kJ/mol of formula units) = 22


# 6
An optimized crystal structure of La3SnRh. Source: the Alexandria database, functional PBE-GGA.

Cell and atoms, written as POSCAR:
```
La3SnRh
1.0
-2.400 3.450 -3.556
-1.726 -4.286 -2.993
-4.644 -0.190 2.950
La Rh Sn
3 1 1
direct
0.000 0.500 0.000
0.000 0.000 0.500
0.500 0.000 0.000
0.000 0.000 0.000
0.500 0.500 0.500
```

- space group = Pm-3m, No. 221
- calculated total energy (eV per atom) = -5.794
- volume (Å³ per cell) = 166.8
- polymorph energy (0 for the lowest one) (eV/atom) = 0.156
- energy of formation (kJ/mol of formula units) = -274


# 7
An optimized crystal structure of Zr2NbAl2. Source: the Alexandria database, functional PBE-GGA.

Cell and atoms, written as POSCAR:
```
Zr2NbAl2
1.0
7.237 0.000 0.000
0.000 7.237 0.000
0.000 0.000 3.739
Nb Al Zr
2 4 4
direct
0.500 0.500 0.000
0.000 0.000 0.000
0.625 0.125 0.000
0.125 0.375 0.000
0.875 0.625 0.000
0.375 0.875 0.000
0.677 0.823 0.500
0.177 0.677 0.500
0.323 0.177 0.500
0.823 0.323 0.500
```

- space group = P4/mbm, No. 127
- calculated total energy (eV per atom) = -7.251
- volume (Å³ per cell) = 195.8
- energy of formation (kJ/mol of formula units) = -155


# 8
An optimized crystal structure of Be2Au. Source: the Alexandria database, functional PBE-GGA.

Cell and atoms, written as POSCAR:
```
Be2Au
1.0
3.879 0.000 0.000
1.939 3.359 0.000
1.939 1.120 3.167
Be Au
2 1
direct
0.750 0.750 0.750
0.250 0.250 0.250
0.000 0.000 0.000
```

- space group = Fm-3m, No. 225
- calculated total energy (eV per atom) = -3.471
- volume (Å³ per cell) = 41.3
- energy of formation (kJ/mol of formula units) = 31


# 9
An optimized crystal structure of Sc3TaPt. Source: the Alexandria database, functional PBE-GGA.

Cell and atoms, written as POSCAR:
```
Sc3TaPt
1.0
4.965 0.000 0.000
0.000 4.965 0.000
0.000 0.000 4.965
Pt Sc Ta
1 3 1
direct
0.500 0.500 0.500
0.500 0.000 0.000
0.000 0.000 0.500
0.000 0.500 0.000
0.000 0.000 0.000
```

- space group = Pm-3m, No. 221
- calculated total energy (eV per atom) = -6.644
- volume (Å³ per cell) = 122.4
- polymorph energy (0 for the lowest one) (eV/atom) = 0.450
- energy of formation (kJ/mol of formula units) = 354


# 10
An optimized crystal structure of Tm3MgAl. Source: the Alexandria database, functional PBE-GGA.

Cell and atoms, written as POSCAR:
```
Tm3MgAl
1.0
-0.865 0.816 -4.577
-5.031 -4.270 0.189
-5.734 6.857 2.306
Mg Tm Al
2 6 2
direct
0.250 0.250 0.571
0.750 0.750 0.429
0.750 0.993 0.745
0.250 0.250 0.929
0.750 0.507 0.745
0.250 0.007 0.255
0.250 0.493 0.255
0.750 0.750 0.071
0.750 0.250 0.119
0.250 0.750 0.881
```

- space group = Pmmn, No. 59
- calculated total energy (eV per atom) = -3.719
- volume (Å³ per cell) = 288.2
- polymorph energy (0 for the lowest one) (eV/atom) = 0.225
- energy of formation (kJ/mol of formula units) = 15


# 11
An optimized crystal structure of Sr2CaMnTc. Source: the Alexandria database, functional PBE-GGA.

Cell and atoms, written as POSCAR:
```
Sr2CaMnTc
1.0
-0.246 5.481 1.704
-4.826 0.584 -2.574
-2.746 -1.610 4.782
Tc Sr Mn Ca
1 2 1 1
direct
0.500 0.500 0.500
0.000 0.000 0.500
0.500 0.000 0.000
0.000 0.000 0.000
0.000 0.500 0.000
```

- space group = P4/mmm, No. 123
- calculated total energy (eV per atom) = -3.776
- volume (Å³ per cell) = 181.5
- energy of formation (kJ/mol of formula units) = 581


# 12
An optimized crystal structure of LaTmTh2Se4. Source: the Alexandria database, functional PBE-GGA.

Cell and atoms, written as POSCAR:
```
LaTmTh2Se4
1.0
4.139 0.000 0.000
0.000 7.126 0.113
0.000 -2.504 6.997
Th Tm Se La
2 1 4 1
direct
0.000 0.500 0.500
0.500 0.000 0.500
0.500 0.500 0.000
0.000 0.265 0.763
0.500 0.740 0.756
0.500 0.260 0.244
0.000 0.735 0.237
0.000 0.000 0.000
```

- space group = P2/m, No. 10
- formation energy without anion corrections (eV per atom) = -1.66
- calculated total energy (eV per atom) = -6.435
- volume (Å³ per cell) = 207.6


# 13
An optimized crystal structure of SrCr3Sb. Source: the Alexandria database, functional PBE-GGA.

Cell and atoms, written as POSCAR:
```
SrCr3Sb
1.0
-5.318 -0.618 -0.145
0.470 -4.654 2.609
-0.427 2.578 4.675
Sb Cr Sr
1 3 1
direct
0.500 0.500 0.500
0.000 0.500 0.000
0.000 0.000 0.500
0.500 0.000 0.000
0.000 0.000 0.000
```

- space group = Pm-3m, No. 221
- formation energy without anion corrections (eV per atom) = 2.11
- calculated total energy (eV per atom) = -4.821
- volume (Å³ per cell) = 153.6
- polymorph energy (0 for the lowest one) (eV/atom) = 1.237


# 14
An optimized crystal structure of LaTb2DyAs4. Source: the Alexandria database, functional PBE-GGA.

Cell and atoms, written as POSCAR:
```
LaTb2DyAs4
1.0
-0.046 -1.830 3.778
7.250 -0.448 -0.128
2.844 6.001 2.942
Tb La As Dy
2 1 4 1
direct
0.000 0.000 0.000
0.500 0.000 0.500
0.000 0.500 0.500
0.000 0.753 0.755
0.000 0.247 0.245
0.500 0.242 0.759
0.500 0.758 0.241
0.500 0.500 0.000
```

- space group = P2/m, No. 10
- calculated total energy (eV per atom) = -6.207
- volume (Å³ per cell) = 208.9
- energy of formation (kJ/mol of formula units) = -1184


# 15
An optimized crystal structure of Pa4BSe3. Source: the Alexandria database, functional PBE-GGA.

Cell and atoms, written as POSCAR:
```
Pa4BSe3
1.0
-1.700 5.317 -3.866
-4.911 -0.921 5.003
4.067 4.852 4.885
Pa Se B
8 6 2
direct
0.498 0.782 0.110
0.998 0.782 0.890
0.481 0.232 0.356
0.981 0.232 0.644
0.519 0.768 0.644
0.502 0.218 0.890
0.019 0.768 0.356
0.002 0.218 0.110
0.750 0.500 0.622
0.250 0.500 0.875
0.750 0.000 0.375
0.250 0.000 0.625
0.250 0.500 0.378
0.750 0.500 0.125
0.250 0.000 0.124
0.750 0.000 0.876
```

- space group = P2/c, No. 13
- formation energy without anion corrections (eV per atom) = -0.99
- calculated total energy (eV per atom) = -7.878
- volume (Å³ per cell) = 362.3


# 16
An optimized crystal structure of Li8HgGe2. Source: the Alexandria database, functional PBE-GGA.

Cell and atoms, written as POSCAR:
```
Li8HgGe2
1.0
-4.365 -0.986 0.471
0.777 -5.090 -3.458
3.189 -0.499 7.011
Li Ge Hg
8 2 1
direct
0.336 0.563 0.672
0.664 0.437 0.328
0.000 0.710 0.000
0.171 0.172 0.343
0.336 0.109 0.671
0.829 0.828 0.657
0.664 0.891 0.329
0.000 0.290 0.000
0.820 0.321 0.641
0.180 0.679 0.359
0.500 0.000 0.000
```

- space group = Immm, No. 71
- calculated total energy (eV per atom) = -2.553
- volume (Å³ per cell) = 187.0
- polymorph energy (0 for the lowest one) (eV/atom) = 0.000
- energy of formation (kJ/mol of formula units) = -313


# 17
An optimized crystal structure of NaSc2Ru. Source: the Alexandria database, functional PBE-GGA.

Cell and atoms, written as POSCAR:
```
NaSc2Ru
1.0
-7.203 -1.321 -1.953
-0.074 -6.149 4.431
-4.631 -1.953 3.694
Sc Na Ru
4 2 2
direct
0.064 0.625 0.250
0.875 0.936 0.750
0.686 0.125 0.250
0.375 0.314 0.750
0.500 0.500 0.000
0.250 0.750 0.500
0.750 0.250 0.500
0.000 0.000 0.000
```

- space group = I-42d, No. 122
- calculated total energy (eV per atom) = -5.559
- volume (Å³ per cell) = 183.3
- energy of formation (kJ/mol of formula units) = 99


# 18
An optimized crystal structure of KIn2Rh. Source: the Alexandria database, functional PBE-GGA.

Cell and atoms, written as POSCAR:
```
KIn2Rh
1.0
-2.976 0.667 -4.593
5.325 -0.453 -1.358
-0.311 -3.191 -0.307
K In Rh
1 2 1
direct
0.500 0.000 0.500
0.500 0.500 0.000
0.000 0.000 0.000
0.000 0.500 0.500
```

- space group = C2/m, No. 12
- calculated total energy (eV per atom) = -3.136
- volume (Å³ per cell) = 92.5
- energy of formation (kJ/mol of formula units) = 133


# 19
An optimized crystal structure of Mo2PAu. Source: the Alexandria database, functional PBE-GGA.

Cell and atoms, written as POSCAR:
```
Mo2PAu
1.0
3.509 0.000 0.000
0.000 3.019 -0.006
0.000 1.207 5.973
Mo P Au
2 1 1
direct
0.000 0.887 0.790
0.000 0.113 0.210
0.500 0.500 0.000
0.500 0.500 0.500
```

- space group = P2/m, No. 10
- calculated total energy (eV per atom) = -7.531
- volume (Å³ per cell) = 63.3
- energy of formation (kJ/mol of formula units) = 22


# 20
An optimized crystal structure of CaPr9In2. Source: the Alexandria database, functional PBE-GGA.

Cell and atoms, written as POSCAR:
```
CaPr9In2
1.0
-0.539 -4.828 -1.426
2.185 1.068 -4.441
13.967 -3.351 6.065
In Pr Ca
2 9 1
direct
0.000 0.000 0.660
0.000 0.000 0.340
0.500 0.000 0.500
0.000 0.500 0.821
0.500 0.000 0.179
0.000 0.500 0.179
0.000 0.500 0.500
0.500 0.500 0.662
0.500 0.000 0.821
0.500 0.500 0.000
0.500 0.500 0.338
0.000 0.000 0.000
```

- space group = P4/mmm, No. 123
- calculated total energy (eV per atom) = -4.361
- volume (Å³ per cell) = 399.7
- energy of formation (kJ/mol of formula units) = -177


no.,total magnetization (μB per atom)
1,0.78
2,0.00
3,1.00
4,0.00
5,0.00
6,0.00
7,0.00
8,0.00
9,0.00
10,0.00
11,1.27
12,0.00
13,2.77
14,0.00
15,0.00
16,0.00
17,0.00
18,0.00
19,0.00
20,0.00